VASP calculation (GGA-PBE) on an optimized crystal structure of U2GeAs.

Structure (extended XYZ):
```
4
Lattice="2.8989 0.0000 0.0000 0.0000 5.4000 0.0000 0.0000 0.0000 5.4000" Properties=species:S:1:pos:R:3 pbc="T T T"
As 1.4494 0.0000 0.0000
U 0.0000 0.0000 2.7000
U 0.0000 2.7000 0.0000
Ge 1.4494 2.7000 2.7000
```

Values from the calculation:
- space-group type = P4/mmm, No. 123
- energy relative to the lowest polymorph listed for this composition (eV per formula unit) = 0.04



VASP calculation (GGA-PBE) on an optimized crystal structure of LiReNi2.

Structure (extended XYZ):
```
4
Lattice="-2.2420 -0.6313 -1.0603 -0.2559 -1.9077 1.6866 -3.6318 4.7673 4.8414" Properties=species:S:1:pos:R:3 pbc="T T T"
Li -4.0474 2.4038 4.0436
Ni -0.0546 0.0716 0.0727
Ni -2.1050 -0.1458 1.4543
Re -1.7387 2.2823 2.3178
```

Values from the calculation:
- space-group type = P4mm, No. 99
- energy relative to the lowest polymorph listed for this composition (eV per formula unit) = 0.58



VASP calculation (GGA-PBE) on an optimized crystal structure of KAs2Pt.

Structure (extended XYZ):
```
4
Lattice="6.1236 0.0417 0.0046 2.9113 5.3875 -0.0046 -3.6829 -4.1034 2.6643" Properties=species:S:1:pos:R:3 pbc="T T T"
As 0.1249 0.0751 0.0000
As 3.7984 -0.4817 1.3345
K 4.4776 2.6907 0.0000
Pt 1.4684 1.7563 1.3299
```

Values from the calculation:
- space-group type = Imm2, No. 44
- energy relative to the lowest polymorph listed for this composition (eV per formula unit) = 2.38



VASP calculation (GGA-PBE) on an optimized crystal structure of NaTm2Sn.

Structure (extended XYZ):
```
4
Lattice="-2.6090 -2.4255 -2.6384 3.8845 -2.6206 -1.4321 -0.7761 -3.1548 3.6678" Properties=species:S:1:pos:R:3 pbc="T T T"
Na 0.2497 -4.1005 -0.2014
Tm -0.3881 -1.5774 1.8339
Tm 1.9423 -1.3103 -0.7161
Sn -1.3045 -1.2127 -1.3192
```

Values from the calculation:
- final energy (eV/atom) = -3.7995
- space-group type = P4/mmm, No. 123



VASP calculation (GGA-PBE) on an optimized crystal structure of Be2CrSi.

Structure (extended XYZ):
```
4
Lattice="3.9287 0.0000 0.0000 1.9643 3.4023 0.0000 1.9643 1.1341 3.2077" Properties=species:S:1:pos:R:3 pbc="T T T"
Cr 3.9287 2.2682 1.6039
Si 5.8930 3.4023 2.4058
Be 0.0000 0.0000 0.0000
Be 1.9643 1.1341 0.8019
```

Values from the calculation:
- formation energy from raw total energies (kJ/mol of formula units) = 70
- space-group type = F-43m, No. 216



VASP calculation (GGA-PBE) on an optimized crystal structure of LaSmYHo.

Structure (extended XYZ):
```
4
Lattice="3.7621 0.0000 0.6219 0.0000 5.9274 0.0000 0.9656 -2.9637 6.2166" Properties=species:S:1:pos:R:3 pbc="T T T"
La 1.7266 0.0000 1.9631
Sm 3.3552 0.0000 5.4254
Y 1.4823 2.9637 4.8638
Ho 3.7156 2.9637 2.3444
```

Values from the calculation:
- space-group type = Cm, No. 8
- energy relative to the lowest polymorph listed for this composition (eV per formula unit) = 0.00



Fermi-level density of states readings, ordered: 7.69; 5.66; 2.42; 2.65; 2.26; 7.56 states/eV per cell